KHgP3O9 | PBEsol | relaxed

Lattice parameters (Å, degrees): 5.6384 11.2052 12.4862 90.00 90.00 90.00
Closest atoms and distances in Å follow each position.
Sites, in units of the cell vectors:
K 0.0936 0.1170 0.0780  8 O 2.67-2.94
K 0.4064 0.8830 0.5780  8 O 2.67-2.94
K 0.5936 0.3830 0.9220  8 O 2.67-2.94
K 0.9064 0.6170 0.4220  8 O 2.67-2.94
Hg 0.0960 0.4790 0.1374  6 O 2.27-2.46
Hg 0.4040 0.5210 0.6374  6 O 2.27-2.46
Hg 0.5960 0.0210 0.8626  6 O 2.27-2.46
Hg 0.9040 0.9790 0.3626  6 O 2.27-2.46
P 0.0797 0.1907 0.8150  4 O 1.49-1.62
P 0.1032 0.8441 0.8544  4 O 1.49-1.63
P 0.1174 0.5844 0.8726  4 O 1.50-1.62
P 0.3826 0.4156 0.3726  4 O 1.50-1.62
P 0.3968 0.1559 0.3544  4 O 1.49-1.63
P 0.4203 0.8093 0.3150  4 O 1.49-1.62
P 0.5797 0.3093 0.1850  4 O 1.49-1.62
P 0.6032 0.6559 0.1456  4 O 1.49-1.63
P 0.6174 0.9156 0.1274  4 O 1.50-1.62
P 0.8826 0.0844 0.6274  4 O 1.50-1.62
P 0.8968 0.3441 0.6456  4 O 1.49-1.63
P 0.9203 0.6907 0.6850  4 O 1.49-1.62
O 0.0168 0.5021 0.9555  1 P 1.50
O 0.0251 0.4336 0.5784  1 P 1.49
O 0.0703 0.3127 0.7458  2 P 1.62-1.63
O 0.0819 0.0918 0.7211  2 P 1.61-1.62
O 0.1120 0.7188 0.9186  2 P 1.61-1.62
O 0.1449 0.6829 0.6196  1 P 1.51
O 0.1474 0.4445 0.3225  1 P 1.50
O 0.1534 0.1279 0.3111  1 P 1.51
O 0.1894 0.8145 0.3733  1 P 1.49
O 0.3106 0.1855 0.8733  1 P 1.49
O 0.3466 0.8721 0.8111  1 P 1.51
O 0.3526 0.5555 0.8225  1 P 1.50
O 0.3551 0.3171 0.1196  1 P 1.51
O 0.3880 0.2812 0.4186  2 P 1.61-1.62
O 0.4181 0.9082 0.2211  2 P 1.61-1.62
O 0.4297 0.6873 0.2458  2 P 1.62-1.63
O 0.4749 0.5664 0.0784  1 P 1.49
O 0.4832 0.4979 0.4555  1 P 1.50
O 0.5168 0.9979 0.0445  1 P 1.50
O 0.5251 0.0664 0.4216  1 P 1.49
O 0.5703 0.1873 0.2542  2 P 1.62-1.63
O 0.5819 0.4082 0.2789  2 P 1.61-1.62
O 0.6120 0.7812 0.0814  2 P 1.61-1.62
O 0.6449 0.8171 0.3804  1 P 1.51
O 0.6474 0.0555 0.6775  1 P 1.50
O 0.6534 0.3721 0.6889  1 P 1.51
O 0.6894 0.6855 0.6267  1 P 1.49
O 0.8106 0.3145 0.1267  1 P 1.49
O 0.8466 0.6279 0.1889  1 P 1.51
O 0.8526 0.9445 0.1775  1 P 1.50
O 0.8551 0.1829 0.8804  1 P 1.51
O 0.8880 0.2188 0.5814  2 P 1.61-1.62
O 0.9181 0.5918 0.7789  2 P 1.61-1.62
O 0.9297 0.8127 0.7542  2 P 1.62-1.63
O 0.9749 0.9336 0.9216  1 P 1.49
O 0.9832 0.0021 0.5445  1 P 1.50

Calculated values
For the uncorrected formation energy, the calculation gives -45.023 kcal/mol of atoms. The value obtained for the total moment is 0.0 μB/f.u.



Li2MnO2F | PBEsol | relaxed

Lattice parameters (Å, degrees): 5.0133 5.0133 5.0133 147.85 125.87 64.36
Closest atoms and distances in Å follow each position.
Sites, in units of the cell vectors:
Li 0.1750 0.1750 0.0000  2 O 2.01, 2 F 2.03
Li 0.8250 0.8250 0.0000  2 O 2.01, 2 F 2.03
Mn 0.5000 0.5000 0.0000  4 O 1.90
O 0.3470 0.8470 0.5000  2 Mn 1.90, 2 Li 2.01
O 0.6530 0.1530 0.5000  2 Mn 1.90, 2 Li 2.01
F 0.0000 0.5000 0.5000  4 Li 2.03

Calculated values
For the uncorrected formation energy, the calculation gives -49.849 kcal/mol of atoms. The value obtained for the total moment is 4.0 μB/f.u.



ScIr2Au | PBEsol | relaxed

Lattice parameters (Å, degrees): 9.0851 9.0851 9.0851 18.15 18.15 18.15
Closest atoms and distances in Å follow each position.
Sites, in units of the cell vectors:
Sc 0.0000 0.0000 0.0000  6 Ir 2.68, 6 Sc 2.87
Ir 0.2545 0.2545 0.2545  3 Sc 2.68, 6 Ir 2.87, 3 Au 2.88
Ir 0.7455 0.7455 0.7455  3 Sc 2.68, 6 Ir 2.87, 3 Au 2.88
Au 0.5000 0.5000 0.5000  6 Au 2.87, 6 Ir 2.88

Calculated values
Its energy relative to the elements is -0.120 eV/atom. The value obtained for the total moment is 0.0 μB/f.u.



Re2AgPd | PBEsol | relaxed

Lattice parameters (Å, degrees): 4.3871 4.3871 4.3871 60.00 60.00 60.00
Closest atoms and distances in Å follow each position.
Sites, in units of the cell vectors:
Re 0.2500 0.2500 0.2500  4 Pd 2.69, 4 Ag 2.69
Re 0.7500 0.7500 0.7500  4 Pd 2.69, 4 Ag 2.69
Ag 0.0000 0.0000 0.0000  8 Re 2.69
Pd 0.5000 0.5000 0.5000  8 Re 2.69

Calculated values
Its energy relative to the elements is 0.931 eV/atom. The value obtained for the total moment is 0.0 μB/f.u.



Co2HgSeBr | PBEsol | relaxed

Lattice parameters (Å, degrees): 4.9357 4.9357 5.0555 90.00 90.00 90.00
Closest atoms and distances in Å follow each position.
Sites, in units of the cell vectors:
Co 0.0000 0.5000 0.0000  2 Hg 2.47
Co 0.5000 0.0000 0.0000  2 Hg 2.47
Hg 0.0000 0.0000 0.0000  4 Co 2.47, 2 Br 2.53
Se 0.5000 0.5000 0.5000  4 Br 3.49, 8 Co 3.53
Br 0.0000 0.0000 0.5000  2 Hg 2.53

Calculated values
For the uncorrected formation energy, the calculation gives 36.394 kcal/mol of atoms. The value obtained for the total moment is 4.4 μB/f.u.



Zr2Ru | PBEsol | relaxed

Lattice parameters (Å, degrees): 7.2699 7.2699 4.7530 90.00 90.00 154.01
Closest atoms and distances in Å follow each position.
Sites, in units of the cell vectors:
Zr 0.0765 0.9235 0.7500  6 Ru 2.75-2.88
Zr 0.2356 0.7644 0.2500  2 Ru 2.75, 4 Zr 2.91
Zr 0.7644 0.2356 0.7500  2 Ru 2.75, 4 Zr 2.91
Zr 0.9235 0.0765 0.2500  6 Ru 2.75-2.88
Ru 0.4208 0.5792 0.7500  8 Zr 2.75-2.88
Ru 0.5792 0.4208 0.2500  8 Zr 2.75-2.88

Calculated values
Its energy relative to the elements is -0.407 eV/atom. The value obtained for the total moment is 0.0 μB/f.u.



LaInBr2 | PBEsol | relaxed

Lattice parameters (Å, degrees): 6.7552 6.7552 6.7552 146.25 139.24 53.92
Closest atoms and distances in Å follow each position.
Sites, in units of the cell vectors:
La 0.0000 0.0000 0.0000  6 Br 3.04-3.10
In 0.7374 0.2374 0.5000  4 Br 3.11
Br 0.1931 0.6931 0.5000  2 La 3.04, 4 In 3.11
Br 0.4600 0.4600 0.0000  4 La 3.10

Calculated values
For the uncorrected formation energy, the calculation gives -24.618 kcal/mol of atoms. The value obtained for the total moment is 0.0 μB/f.u.



CdAgAu2 | PBEsol | relaxed

Lattice parameters (Å, degrees): 2.9919 4.0011 5.8009 90.00 90.00 90.00
Closest atoms and distances in Å follow each position.
Sites, in units of the cell vectors:
Cd 0.0000 0.0000 0.0000  8 Au 2.90, 2 Ag 2.90, 2 Cd 2.99
Ag 0.0000 0.0000 0.5000  8 Au 2.88, 2 Cd 2.90, 2 Ag 2.99
Au 0.5000 0.5000 0.2535  4 Au 2.86-2.99, 4 Ag 2.88, 4 Cd 2.90
Au 0.5000 0.5000 0.7465  4 Au 2.86-2.99, 4 Ag 2.88, 4 Cd 2.90

Calculated values
Its energy relative to the elements is -0.123 eV/atom. The value obtained for the total moment is 0.0 μB/f.u.



AlCo3Re | PBEsol | relaxed

Lattice parameters (Å, degrees): 4.3532 4.3532 4.3532 90.00 90.00 90.00
Closest atoms and distances in Å follow each position.
Sites, in units of the cell vectors:
Al 0.0000 0.0000 0.0000  12 Co 3.08
Co 0.0000 0.5000 0.5000  2 Re 2.18
Co 0.5000 0.0000 0.5000  2 Re 2.18
Co 0.5000 0.5000 0.0000  2 Re 2.18
Re 0.5000 0.5000 0.5000  6 Co 2.18

Calculated values
Its energy relative to the elements is 1.455 eV/atom. The value obtained for the total moment is 0.0 μB/f.u.



Li2CaRh | PBEsol | relaxed

Lattice parameters (Å, degrees): 4.6576 4.6576 4.6576 119.93 119.93 90.12
Closest atoms and distances in Å follow each position.
Sites, in units of the cell vectors:
Li 0.0000 0.0000 0.0000  4 Li 2.85, 4 Ca 2.85
Li 0.7500 0.2500 0.5000  4 Li 2.85, 4 Rh 2.85
Ca 0.2500 0.7500 0.5000  4 Li 2.85, 4 Rh 2.85
Rh 0.5000 0.5000 0.0000  4 Li 2.85, 4 Ca 2.85

Calculated values
Its energy relative to the elements is -0.044 eV/atom. The value obtained for the total moment is 0.0 μB/f.u.



CaAg2Pb | PBEsol | relaxed

Lattice parameters (Å, degrees): 3.2753 5.4190 5.9676 115.97 104.28 93.23
Closest atoms and distances in Å follow each position.
Sites, in units of the cell vectors:
Ca 0.0000 0.0000 0.0000  4 Ag 3.03, 4 Pb 3.09-3.24, 2 Ca 3.28
Ag 0.0000 0.5000 0.5000  2 Ca 3.03, 2 Pb 3.03, 6 Ag 3.09-3.28
Ag 0.5000 0.0000 0.5000  2 Pb 3.03, 2 Ca 3.03, 6 Ag 3.09-3.28
Pb 0.5000 0.5000 0.0000  4 Ag 3.03, 4 Ca 3.09-3.24, 2 Pb 3.28

Calculated values
Its energy relative to the elements is -0.042 eV/atom. The value obtained for the total moment is 0.0 μB/f.u.



CaSnTe2I | PBEsol | relaxed

Lattice parameters (Å, degrees): 5.7554 5.7554 5.7214 90.00 90.00 90.00
Closest atoms and distances in Å follow each position.
Sites, in units of the cell vectors:
Ca 0.0000 0.0000 0.0000  2 I 2.86, 4 Te 2.88
Sn 0.5000 0.5000 0.5000  8 Te 4.06, 4 I 4.07
Te 0.0000 0.5000 0.0000  2 Ca 2.88
Te 0.5000 0.0000 0.0000  2 Ca 2.88
I 0.0000 0.0000 0.5000  2 Ca 2.86

Calculated values
For the uncorrected formation energy, the calculation gives -3.185 kcal/mol of atoms. The value obtained for the total moment is 0.0 μB/f.u.



- Look up the total moment of the third one.
  0.0 μB/f.u.